one | AgF: relaxed, PBE-GGA.

Lattice parameters (Å, degrees): 3.2691 15.1103 3.7143 90.00 90.00 90.00
Last column: nearest neighbours and their distance in Å.
Sites, in units of the cell vectors:
Ag: 0.2500 0.0890 0.2473  6 F 2.48-2.55
Ag: 0.2500 0.4110 0.2473  6 F 2.48-2.55
Ag: 0.2500 0.7500 0.4501  6 F 2.44-2.68
Ag: 0.7500 0.2500 0.5499  6 F 2.44-2.68
Ag: 0.7500 0.5890 0.7527  6 F 2.48-2.55
Ag: 0.7500 0.9110 0.7527  6 F 2.48-2.55
F: 0.2500 0.2500 0.0373  6 Ag 2.44-2.55
F: 0.2500 0.5793 0.2532  6 Ag 2.48-2.68
F: 0.2500 0.9207 0.2532  6 Ag 2.48-2.68
F: 0.7500 0.0793 0.7468  6 Ag 2.48-2.68
F: 0.7500 0.4207 0.7468  6 Ag 2.48-2.68
F: 0.7500 0.7500 0.9627  6 Ag 2.44-2.55

N(E_F) ... 2.55 states/eV per cell


two | AgF: relaxed, PBE-GGA.

Lattice parameters (Å, degrees): 6.7084 6.7084 6.7084 90.00 90.00 90.00
Last column: nearest neighbours and their distance in Å.
Sites, in units of the cell vectors:
Ag: 0.0000 0.2500 0.5000  4 F 2.37
Ag: 0.0000 0.7500 0.5000  4 F 2.37
Ag: 0.2500 0.5000 0.0000  4 F 2.37
Ag: 0.5000 0.0000 0.2500  4 F 2.37
Ag: 0.5000 0.0000 0.7500  4 F 2.37
Ag: 0.7500 0.5000 0.0000  4 F 2.37
F: 0.0000 0.5000 0.2500  4 Ag 2.37
F: 0.0000 0.5000 0.7500  4 Ag 2.37
F: 0.2500 0.0000 0.5000  4 Ag 2.37
F: 0.5000 0.2500 0.0000  4 Ag 2.37
F: 0.5000 0.7500 0.0000  4 Ag 2.37
F: 0.7500 0.0000 0.5000  4 Ag 2.37


Energies, relative to the best one, in meV/atom: one 0; two 76.


one | Ag4F: relaxed, PBE-GGA.

Lattice parameters (Å, degrees): 4.8514 2.9528 6.0407 90.00 96.35 90.00
Last column: nearest neighbours and their distance in Å.
Sites, in units of the cell vectors:
Ag: 0.1884 0.0000 0.2051  2 F 2.53
Ag: 0.2633 0.5000 0.6243  1 F 2.43
Ag: 0.7367 0.5000 0.3757  1 F 2.43
Ag: 0.8116 0.0000 0.7949  2 F 2.53
F: 0.5000 0.5000 0.0000  6 Ag 2.43-2.53

N(E_F) ... 0.66 states/eV per cell


two | Ag4F: relaxed, PBE-GGA.

Lattice parameters (Å, degrees): 4.6044 4.6044 4.6044 90.00 90.00 90.00
Last column: nearest neighbours and their distance in Å.
Sites, in units of the cell vectors:
Ag: 0.0000 0.0000 0.0000  12 Ag 3.26
Ag: 0.0000 0.5000 0.5000  2 F 2.30
Ag: 0.5000 0.0000 0.5000  2 F 2.30
Ag: 0.5000 0.5000 0.0000  2 F 2.30
F: 0.5000 0.5000 0.5000  6 Ag 2.30

N(E_F) ... 1.54 states/eV per cell


Energies, relative to the best one, in meV/atom: one 0; two 313.


one | Ag2F3: relaxed, PBE-GGA.

Lattice parameters (Å, degrees): 6.3850 6.3850 6.3850 54.70 54.70 54.70
Last column: nearest neighbours and their distance in Å.
Sites, in units of the cell vectors:
Ag: 0.1521 0.1521 0.1521  6 F 2.32-2.41
Ag: 0.3479 0.3479 0.3479  6 F 2.32-2.41
Ag: 0.6521 0.6521 0.6521  6 F 2.32-2.41
Ag: 0.8479 0.8479 0.8479  6 F 2.32-2.41
F: 0.0578 0.7500 0.4422  4 Ag 2.32-2.41
F: 0.2500 0.5578 0.9422  4 Ag 2.32-2.41
F: 0.4422 0.0578 0.7500  4 Ag 2.32-2.41
F: 0.5578 0.9422 0.2500  4 Ag 2.32-2.41
F: 0.7500 0.4422 0.0578  4 Ag 2.32-2.41
F: 0.9422 0.2500 0.5578  4 Ag 2.32-2.41

N(E_F) ... 9.88 states/eV per cell


two | Ag2F3: relaxed, PBE-GGA.

Lattice parameters (Å, degrees): 5.9974 5.9974 5.9974 60.61 60.61 60.61
Last column: nearest neighbours and their distance in Å.
Sites, in units of the cell vectors:
Ag: 0.0000 0.0000 0.0000  6 F 2.23
Ag: 0.2440 0.2440 0.2440  3 F 2.35
Ag: 0.5000 0.5000 0.5000  6 F 2.24
Ag: 0.7560 0.7560 0.7560  3 F 2.35
F: 0.1384 0.7536 0.3615  3 Ag 2.23-2.35
F: 0.2464 0.6385 0.8616  3 Ag 2.23-2.35
F: 0.3615 0.1384 0.7536  3 Ag 2.23-2.35
F: 0.6385 0.8616 0.2464  3 Ag 2.23-2.35
F: 0.7536 0.3615 0.1384  3 Ag 2.23-2.35
F: 0.8616 0.2464 0.6385  3 Ag 2.23-2.35

N(E_F) ... 6.21 states/eV per cell


Energies, relative to the best one, in meV/atom: one 6; two 0.